Entry 1:
# Sc2BeGaCu6

An optimized crystal structure of Sc2BeGaCu6 (GGA-PBE, Alexandria).

Computed properties:
ΔE_f	-125	meV per atom

Cell and atoms, written as CIF:
```
data_Sc2BeGaCu6
_chemical_formula_sum 'Sc2 Be1 Ga1 Cu6'
_cell_length_a 4.895
_cell_length_b 5.842
_cell_length_c 6.115
_cell_angle_alpha 91.29
_cell_angle_beta 113.47
_cell_angle_gamma 114.37
_space_group_name_H-M_alt 'P -1'
_space_group_IT_number 2
_space_group_name_Hall '-P 1'
loop_
_atom_site_label
_atom_site_type_symbol
_atom_site_fract_x
_atom_site_fract_y
_atom_site_fract_z
Sc1 Sc 0.247 0.238 0.260
Be1 Be 0.000 0.500 0.500
Ga1 Ga 0.500 0.000 0.000
Cu1 Cu 0.186 0.678 0.196
Cu2 Cu 0.245 0.924 0.563
Cu3 Cu 0.308 0.325 0.802
```

***

Entry 2:
# Cu2PdRh2

An optimized crystal structure of Cu2PdRh2 (GGA-PBE, Alexandria).

Computed properties:
ΔE to the lowest computed polymorph	13	meV/atom
ΔE_f	246	meV per atom

Cell and atoms, written as CIF:
```
data_Cu2PdRh2
_chemical_formula_sum 'Cu4 Pd2 Rh4'
_cell_length_a 7.205
_cell_length_b 7.205
_cell_length_c 2.755
_cell_angle_alpha 90.00
_cell_angle_beta 90.00
_cell_angle_gamma 90.00
_space_group_name_H-M_alt 'P 4/m b m'
_space_group_IT_number 127
_space_group_name_Hall '-P 4 2ab'
loop_
_atom_site_label
_atom_site_type_symbol
_atom_site_fract_x
_atom_site_fract_y
_atom_site_fract_z
Cu1 Cu 0.170 0.330 0.000
Pd1 Pd 0.000 0.000 0.500
Rh1 Rh 0.128 0.628 0.500
```

***

Entry 3:
# Mn2SiB

An optimized crystal structure of Mn2SiB (GGA-PBE, Alexandria).

Computed properties:
uncorrected formation energy	0.0031	eV/atom
ΔE to the lowest computed polymorph	13	meV/atom

Cell and atoms, written as CIF:
```
data_Mn2SiB
_chemical_formula_sum 'Mn8 Si4 B4'
_cell_length_a 5.385
_cell_length_b 5.385
_cell_length_c 5.385
_cell_angle_alpha 90.00
_cell_angle_beta 90.00
_cell_angle_gamma 90.00
_space_group_name_H-M_alt 'F m -3 m'
_space_group_IT_number 225
_space_group_name_Hall '-F 4 2 3'
loop_
_atom_site_label
_atom_site_type_symbol
_atom_site_fract_x
_atom_site_fract_y
_atom_site_fract_z
Mn1 Mn 0.250 0.250 0.250
Si1 Si 0.000 0.000 0.000
B1 B 0.000 0.000 0.500
```

***

Entry 4:
# Li2Ga2Sb

An optimized crystal structure of Li2Ga2Sb (GGA-PBE, Alexandria).

Computed properties:
uncorrected formation energy	-0.2094	eV/atom
ΔE to the lowest computed polymorph	0	meV/atom

Cell and atoms, written as CIF:
```
data_Li2Ga2Sb
_chemical_formula_sum 'Li4 Ga4 Sb2'
_cell_length_a 7.758
_cell_length_b 7.758
_cell_length_c 3.116
_cell_angle_alpha 90.00
_cell_angle_beta 90.00
_cell_angle_gamma 90.00
_space_group_name_H-M_alt 'P 4/m b m'
_space_group_IT_number 127
_space_group_name_Hall '-P 4 2ab'
loop_
_atom_site_label
_atom_site_type_symbol
_atom_site_fract_x
_atom_site_fract_y
_atom_site_fract_z
Li1 Li 0.180 0.320 0.000
Ga1 Ga 0.119 0.619 0.500
Sb1 Sb 0.000 0.000 0.500
```

***

Entry 5:
# KBaF4

An optimized crystal structure of KBaF4 (GGA-PBE, Alexandria).

Computed properties:
uncorrected formation energy	-2.8123	eV/atom
ΔE to the lowest computed polymorph	0	meV/atom

Cell and atoms, written as CIF:
```
data_KBaF4
_chemical_formula_sum 'K4 Ba4 F16'
_cell_length_a 6.307
_cell_length_b 6.307
_cell_length_c 12.600
_cell_angle_alpha 90.00
_cell_angle_beta 90.00
_cell_angle_gamma 90.00
_space_group_name_H-M_alt 'I 41/a m d'
_space_group_IT_number 141
loop_
_space_group_symop_operation_xyz
'x,y,z'
'-x,-y,-z'
'-y+1/4,x+3/4,z+1/4'
'y+1/4,-x+3/4,-z+1/4'
'-x+1/2,-y,z+1/2'
'x+1/2,y,-z+1/2'
'y+1/4,-x+1/4,z+3/4'
'-y+1/4,x+1/4,-z+3/4'
'x,-y,-z'
'-x,y,z'
'-y+1/4,-x+1/4,-z+3/4'
'y+1/4,x+1/4,z+3/4'
'-x+1/2,y,-z+1/2'
'x+1/2,-y,z+1/2'
'y+1/4,x+3/4,-z+1/4'
'-y+1/4,-x+3/4,z+1/4'
'x+1/2,y+1/2,z+1/2'
'-x+1/2,-y+1/2,-z+1/2'
'-y+3/4,x+1/4,z+3/4'
'y+3/4,-x+1/4,-z+3/4'
'-x,-y+1/2,z'
'x,y+1/2,-z'
'y+3/4,-x+3/4,z+1/4'
'-y+3/4,x+3/4,-z+1/4'
'x+1/2,-y+1/2,-z+1/2'
'-x+1/2,y+1/2,z+1/2'
'-y+3/4,-x+3/4,-z+1/4'
'y+3/4,x+3/4,z+1/4'
'-x,y+1/2,-z'
'x,-y+1/2,z'
'y+3/4,x+1/4,-z+3/4'
'-y+3/4,-x+1/4,z+3/4'
loop_
_atom_site_label
_atom_site_type_symbol
_atom_site_fract_x
_atom_site_fract_y
_atom_site_fract_z
K1 K 0.000 0.250 0.375
Ba1 Ba 0.000 0.250 0.875
F1 F 0.236 0.000 0.000
```

***

Entry 6:
# K3NpCl8

An optimized crystal structure of K3NpCl8 (GGA-PBE, Alexandria).

Computed properties:
uncorrected formation energy	-1.6464	eV/atom
ΔE to the lowest computed polymorph	0	meV/atom

Cell and atoms, written as CIF:
```
data_K3NpCl8
_chemical_formula_sum 'K6 Np2 Cl16'
_cell_length_a 7.191
_cell_length_b 7.191
_cell_length_c 14.144
_cell_angle_alpha 90.00
_cell_angle_beta 90.00
_cell_angle_gamma 90.00
_space_group_name_H-M_alt 'I 4/m m m'
_space_group_IT_number 139
_space_group_name_Hall '-I 4 2'
loop_
_atom_site_label
_atom_site_type_symbol
_atom_site_fract_x
_atom_site_fract_y
_atom_site_fract_z
K1 K 0.000 0.000 0.000
K2 K 0.000 0.500 0.250
Np1 Np 0.000 0.000 0.500
Cl1 Cl 0.219 0.219 0.389
```